# LaMg2Cr

A relaxed LaMg2Cr crystal (GGA-PBE, Alexandria via LeMat-Bulk).

Energy   -4.1790 eV/atom
Calculated formation energy   0.256 eV per atom
Density of states at the Fermi level   3.25 states/eV/cell
Theoretical density   4.09 g/cm³

Unit cell a=3.3943 b=3.3943 c=8.4386 alpha=90.00 beta=90.00 gamma=90.00
Space group P4/mmm (No. 123)
Unique sites:
La1 0.0000 0.0000 0.0000 [1 per cell]
Mg1 0.5000 0.5000 0.3039 [2 per cell]
Cr1 0.0000 0.0000 0.5000 [1 per cell]